Material: K3Pm3CrO8
Method: DFT, PBE+U
State: relaxed

Cell lengths 6.886, 6.937, 7.444 Å; angles 117.62, 90.00, 119.76 degrees
Each line ends with the local moment (μB).
Fractional coordinates of all 15 atoms:
1 Pm 0.500 0.000 0.500  -0.01
2 K 0.500 0.500 0.000  0.00
3 O 0.208 0.415 0.675  -0.03
4 Pm 0.000 0.500 0.500  0.01
5 Cr 0.000 0.000 0.500  2.22
6 O 0.199 0.970 0.669  -0.05
7 O 0.771 0.970 0.669  -0.05
8 K 0.000 0.000 0.000  0.00
9 O 0.801 0.030 0.331  -0.05
10 Pm 0.500 0.500 0.500  0.01
11 O 0.271 0.542 0.309  0.00
12 K 0.000 0.500 0.000  0.00
13 O 0.792 0.585 0.325  -0.03
14 O 0.729 0.458 0.691  0.00
15 O 0.229 0.030 0.331  -0.05

* DFT total energy: -100.6 eV for the cell shown